Entry 1:
# KCuPS4 (PBE-GGA, optimized geometry)
# Formation energy from raw total energies = -0.45 eV/atom
# VASP energy = -4.32 eV per atom
# V = 325.1 Å³ per cell
# DOS(E_F) = 8.580 states/eV per cell
data_KCuPS4
_cell_length_a 5.9369
_cell_length_b 6.5138
_cell_length_c 8.8049
_cell_angle_alpha 90.00
_cell_angle_beta 107.30
_cell_angle_gamma 90.00
_symmetry_space_group_name_H-M 'P 1 21/m 1'
_symmetry_Int_Tables_number 11
loop_
_symmetry_equiv_pos_as_xyz
'x,y,z'
'-x,-y,-z'
'-x,y+1/2,-z'
'x,-y+1/2,z'
loop_
_atom_site_label
_atom_site_type_symbol
_atom_site_fract_x
_atom_site_fract_y
_atom_site_fract_z
_atom_site_occupancy
K1 K 0.2476 0.2500 0.4036 1
Cu1 Cu 0.3720 0.7500 0.0071 1
P1 P 0.1233 0.2500 0.8028 1
S1 S 0.0252 0.2500 0.0054 1
S2 S 0.1415 0.7500 0.4012 1
S3 S 0.3681 0.0131 0.8105 1

Entry 2:
# KCu4SbP2 (PBE-GGA, optimized geometry)
# Formation energy from raw total energies = -0.11 eV/atom
# VASP energy = -4.16 eV per atom
# V = 155.4 Å³ per cell
# DOS(E_F) = 3.777 states/eV per cell
data_KCu4SbP2
_cell_length_a 4.0027
_cell_length_b 4.0027
_cell_length_c 9.6980
_cell_angle_alpha 90.00
_cell_angle_beta 90.00
_cell_angle_gamma 90.00
_symmetry_space_group_name_H-M 'P 4/m m m'
_symmetry_Int_Tables_number 123
_symmetry_space_group_name_Hall '-P 4 2'
loop_
_atom_site_label
_atom_site_type_symbol
_atom_site_fract_x
_atom_site_fract_y
_atom_site_fract_z
_atom_site_occupancy
K1 K 0.0000 0.0000 0.0000 1
Cu1 Cu 0.0000 0.5000 0.3102 1
Sb1 Sb 0.0000 0.0000 0.5000 1
P1 P 0.5000 0.5000 0.1996 1

Entry 3:
# KCuPSe3 (PBE-GGA, optimized geometry)
# Formation energy from raw total energies = -0.50 eV/atom
# VASP energy = -4.01 eV per atom
# V = 1955.3 Å³ per cell
data_KCuPSe3
_cell_length_a 8.9301
_cell_length_b 10.8252
_cell_length_c 20.2529
_cell_angle_alpha 90.00
_cell_angle_beta 92.91
_cell_angle_gamma 90.00
_symmetry_space_group_name_H-M 'P 1 21/c 1'
_symmetry_Int_Tables_number 14
loop_
_symmetry_equiv_pos_as_xyz
'x,y,z'
'-x,-y,-z'
'-x,y+1/2,-z+1/2'
'x,-y+1/2,z+1/2'
loop_
_atom_site_label
_atom_site_type_symbol
_atom_site_fract_x
_atom_site_fract_y
_atom_site_fract_z
_atom_site_occupancy
K1 K 0.0249 0.2042 0.0091 1
K2 K 0.3034 0.6796 0.2943 1
K3 K 0.3554 0.0033 0.6019 1
Cu1 Cu 0.0278 0.1385 0.7756 1
Cu2 Cu 0.3271 0.5010 0.6364 1
Cu3 Cu 0.3609 0.2035 0.8919 1
P1 P 0.1049 0.0595 0.3559 1
P2 P 0.2325 0.0983 0.2626 1
P3 P 0.4305 0.5818 0.4796 1
Se1 Se 0.0288 0.6350 0.8474 1
Se2 Se 0.0678 0.0528 0.1783 1
Se3 Se 0.0784 0.6995 0.1511 1
Se4 Se 0.2367 0.0056 0.9250 1
Se5 Se 0.2695 0.1023 0.4389 1
Se6 Se 0.2928 0.2016 0.7733 1
Se7 Se 0.3733 0.6828 0.5717 1
Se8 Se 0.4208 0.1845 0.0853 1
Se9 Se 0.4261 0.5288 0.7572 1

Entry 4:
# KCu2PSe4 (PBE-GGA, optimized geometry)
# Formation energy from raw total energies = -0.35 eV/atom
# VASP energy = -3.93 eV per atom
# V = 428.2 Å³ per cell
data_KCu2PSe4
_cell_length_a 6.3472
_cell_length_b 7.8280
_cell_length_c 8.6172
_cell_angle_alpha 90.00
_cell_angle_beta 90.00
_cell_angle_gamma 90.00
_symmetry_space_group_name_H-M 'I 2 2 2'
_symmetry_Int_Tables_number 23
loop_
_symmetry_equiv_pos_as_xyz
'x,y,z'
'-x,-y,z'
'x,-y,-z'
'-x,y,-z'
'x+1/2,y+1/2,z+1/2'
'-x+1/2,-y+1/2,z+1/2'
'x+1/2,-y+1/2,-z+1/2'
'-x+1/2,y+1/2,-z+1/2'
loop_
_atom_site_label
_atom_site_type_symbol
_atom_site_fract_x
_atom_site_fract_y
_atom_site_fract_z
_atom_site_occupancy
K1 K 0.0000 0.0000 0.0000 1
Cu1 Cu 0.0000 0.5000 0.1538 1
P1 P 0.0000 0.0000 0.5000 1
Se1 Se 0.2023 0.1693 0.3485 1

Entry 5:
# K2CuTcP (PBE-GGA, optimized geometry)
# VASP energy = -3.46 eV per atom
# V = 173.7 Å³ per cell
# Formation energy = 91.7 kJ/mol of atoms
# DOS(E_F) = 3.743 states/eV per cell
data_K2CuTcP
_cell_length_a 6.4163
_cell_length_b 6.4163
_cell_length_c 4.2184
_cell_angle_alpha 90.00
_cell_angle_beta 90.00
_cell_angle_gamma 90.00
_symmetry_space_group_name_H-M 'P 4/m m m'
_symmetry_Int_Tables_number 123
_symmetry_space_group_name_Hall '-P 4 2'
loop_
_atom_site_label
_atom_site_type_symbol
_atom_site_fract_x
_atom_site_fract_y
_atom_site_fract_z
_atom_site_occupancy
K1 K 0.0000 0.5000 0.0000 1
Cu1 Cu 0.0000 0.0000 0.5000 1
Tc1 Tc 0.5000 0.5000 0.5000 1
P1 P 0.0000 0.0000 0.0000 1

Entry 6:
# KCu2TeP (PBE-GGA, optimized geometry)
# Formation energy from raw total energies = 0.56 eV/atom
# VASP energy = -3.00 eV per atom
# V = 165.3 Å³ per cell
# DOS(E_F) = 2.260 states/eV per cell
data_KCu2TeP
_cell_length_a 4.8689
_cell_length_b 4.8689
_cell_length_c 6.9723
_cell_angle_alpha 90.00
_cell_angle_beta 90.00
_cell_angle_gamma 90.00
_symmetry_space_group_name_H-M 'P 4/m m m'
_symmetry_Int_Tables_number 123
_symmetry_space_group_name_Hall '-P 4 2'
loop_
_atom_site_label
_atom_site_type_symbol
_atom_site_fract_x
_atom_site_fract_y
_atom_site_fract_z
_atom_site_occupancy
K1 K 0.0000 0.0000 0.0000 1
Cu1 Cu 0.0000 0.5000 0.5000 1
Te1 Te 0.0000 0.0000 0.5000 1
P1 P 0.5000 0.5000 0.0000 1